GGA-PBE LiCaLa2, relaxed; calculated formation energy = 0.117 eV per atom; SG = No. 47
1.0
-2.4392 2.8908 -0.9789
-3.1887 -1.1036 4.6866
3.3888 3.9555 3.2371
Ca La Li
1 2 1
Cartesian
0.1000 1.4260 3.9618
0.0000 0.0000 0.0000
-2.8139 0.8936 1.8538
0.4748 3.4232 1.1291